Record 1
Material: YOsI3
Method: DFT, GGA-PBE
State: relaxed

Values from the calculation:
Uncorrected formation energy = 0.44 eV/atom
DOS at the Fermi energy = 3.7 states/eV/f.u.

The structure in CIF format:
```
data_YOsI3
_chemical_formula_sum 'Y1 Os1 I3'
_cell_length_a 5.343
_cell_length_b 5.343
_cell_length_c 5.343
_cell_angle_alpha 90.00
_cell_angle_beta 90.00
_cell_angle_gamma 90.00
_space_group_name_H-M_alt 'P 1'
_space_group_IT_number 1
loop_
_space_group_symop_operation_xyz
'x,y,z'
loop_
_atom_site_label
_atom_site_fract_x
_atom_site_fract_y
_atom_site_fract_z
Y1 0.000 0.000 0.000
Os1 0.500 0.500 0.500
I1 0.000 0.500 0.500
I2 0.500 0.000 0.500
I3 0.500 0.500 0.000
```

---

Record 2
Material: Cr2ReSe
Method: DFT, GGA-PBE
State: relaxed

Values from the calculation:
Uncorrected formation energy = 0.46 eV/atom
DOS at the Fermi energy = 4.5 states/eV/f.u.

The structure in CIF format:
```
data_Cr2ReSe
_chemical_formula_sum 'Cr2 Re1 Se1'
_cell_length_a 4.969
_cell_length_b 4.969
_cell_length_c 4.969
_cell_angle_alpha 137.18
_cell_angle_beta 137.18
_cell_angle_gamma 62.15
_space_group_name_H-M_alt 'P 1'
_space_group_IT_number 1
loop_
_space_group_symop_operation_xyz
'x,y,z'
loop_
_atom_site_label
_atom_site_fract_x
_atom_site_fract_y
_atom_site_fract_z
Cr1 0.000 0.000 0.000
Cr2 0.750 0.250 0.500
Re1 0.250 0.750 0.500
Se1 0.500 0.500 0.000
```

---

Record 3
Material: NaSiB
Method: DFT, GGA-PBE
State: relaxed

Values from the calculation:
Uncorrected formation energy = 0.38 eV/atom
DOS at the Fermi energy = 0.1 states/eV/f.u.

The structure in CIF format:
```
data_NaSiB
_chemical_formula_sum 'Na4 Si4 B4'
_cell_length_a 9.533
_cell_length_b 3.760
_cell_length_c 6.160
_cell_angle_alpha 90.00
_cell_angle_beta 90.00
_cell_angle_gamma 90.00
_space_group_name_H-M_alt 'P 1'
_space_group_IT_number 1
loop_
_space_group_symop_operation_xyz
'x,y,z'
loop_
_atom_site_label
_atom_site_fract_x
_atom_site_fract_y
_atom_site_fract_z
Na1 0.158 0.250 0.051
Na2 0.342 0.750 0.551
Na3 0.658 0.250 0.449
Na4 0.842 0.750 0.949
Si1 0.050 0.250 0.603
Si2 0.450 0.750 0.103
Si3 0.550 0.250 0.897
Si4 0.950 0.750 0.397
B1 0.070 0.750 0.677
B2 0.430 0.250 0.177
B3 0.570 0.750 0.823
B4 0.930 0.250 0.323
```

---

Record 4
Material: Sr2InSn2
Method: DFT, GGA-PBE
State: relaxed

Values from the calculation:
ΔH_f (0 K) = -0.5277 eV/atom
DOS at the Fermi energy = 3.1 states/eV/f.u.

The structure in CIF format:
```
data_Sr2InSn2
_chemical_formula_sum 'Sr4 In2 Sn4'
_cell_length_a 8.032
_cell_length_b 8.032
_cell_length_c 5.059
_cell_angle_alpha 90.00
_cell_angle_beta 90.00
_cell_angle_gamma 90.00
_space_group_name_H-M_alt 'P 1'
_space_group_IT_number 1
loop_
_space_group_symop_operation_xyz
'x,y,z'
loop_
_atom_site_label
_atom_site_fract_x
_atom_site_fract_y
_atom_site_fract_z
Sr1 0.171 0.329 0.000
Sr2 0.329 0.829 0.000
Sr3 0.671 0.171 0.000
Sr4 0.829 0.671 0.000
In1 0.000 0.000 0.500
In2 0.500 0.500 0.500
Sn1 0.131 0.631 0.500
Sn2 0.369 0.131 0.500
Sn3 0.631 0.869 0.500
Sn4 0.869 0.369 0.500
```